InCu2NiW GGA-PBE relaxed; Fermi-level density of states = 1.220 states/eV/atom; electronic total energy = -4.156 eV per atom; M_tot = 0.0 μB per cell; symmetry = P4/mmm
1.0
4.522 0.000 0.000
0.000 4.518 0.000
0.000 0.000 4.522
Cu In W Ni
2 1 1 1
direct
0.500 0.000 0.000 Cu
0.000 0.000 0.500 Cu
0.000 0.000 0.000 In
0.500 0.500 0.500 W
0.000 0.500 0.000 Ni

=====

In2CuNiW GGA-PBE relaxed; Fermi-level density of states = 1.018 states/eV/atom; electronic total energy = -4.356 eV per atom; M_tot = 0.3 μB per cell; symmetry = P4/mmm
1.0
-4.076 2.326 0.095
-0.510 -1.078 4.539
2.271 3.933 1.188
W In Ni Cu
1 2 1 1
direct
0.000 0.500 0.000 W
0.000 0.000 0.500 In
0.500 0.000 0.000 In
0.500 0.500 0.500 Ni
0.000 0.000 0.000 Cu

=====

Y2InCu3Ni12 GGA-PBE relaxed; Fermi-level density of states = 1.467 states/eV/atom; electronic total energy = -5.212 eV per atom; M_tot = 1.1 μB per cell; symmetry = R-3m
1.0
-0.973 -6.419 -6.633
4.341 -3.588 -7.378
3.762 -7.885 -3.134
Ni Cu Y In
12 3 2 1
direct
0.871 0.460 0.871 Ni
0.418 0.418 0.797 Ni
0.871 0.871 0.460 Ni
0.582 0.203 0.582 Ni
0.129 0.129 0.540 Ni
0.540 0.129 0.129 Ni
0.203 0.582 0.582 Ni
0.129 0.540 0.129 Ni
0.797 0.418 0.418 Ni
0.582 0.582 0.203 Ni
0.460 0.871 0.871 Ni
0.418 0.797 0.418 Ni
0.000 0.500 0.000 Cu
0.000 0.000 0.500 Cu
0.500 0.000 0.000 Cu
0.639 0.639 0.639 Y
0.361 0.361 0.361 Y
0.000 0.000 0.000 In

=====

YInCuNi GGA-PBE relaxed; Fermi-level density of states = 0.760 states/eV/atom; electronic total energy = -5.090 eV per atom; M_tot = 0.0 μB per cell; symmetry = F-43m
1.0
4.665 0.000 0.000
2.333 4.040 0.000
2.333 1.347 3.809
Y Ni Cu In
1 1 1 1
direct
0.000 0.000 0.000 Y
0.250 0.250 0.250 Ni
0.750 0.750 0.750 Cu
0.500 0.500 0.500 In

=====

ZrInCuNi GGA-PBE relaxed; Fermi-level density of states = 0.478 states/eV/atom; electronic total energy = -5.629 eV per atom; M_tot = 0.0 μB per cell; symmetry = F-43m
1.0
4.513 0.000 0.000
2.257 3.909 0.000
2.257 1.303 3.685
Zr Cu In Ni
1 1 1 1
direct
0.000 0.000 0.000 Zr
0.250 0.250 0.250 Cu
0.500 0.500 0.500 In
0.750 0.750 0.750 Ni

=====

Np2In8Cu GGA-PBE relaxed; Fermi-level density of states = 2.201 states/eV/atom; electronic total energy = -4.719 eV per atom; M_tot = 8.3 μB per cell; symmetry = P4/mmm
1.0
-2.884 -3.131 -1.941
1.184 -3.122 3.277
-9.108 3.992 7.094
In Np Cu
8 2 1
direct
0.000 0.500 0.500 In
0.500 0.000 0.125 In
0.500 0.000 0.500 In
0.000 0.500 0.875 In
0.500 0.000 0.875 In
0.000 0.500 0.125 In
0.500 0.500 0.310 In
0.500 0.500 0.690 In
0.000 0.000 0.308 Np
0.000 0.000 0.692 Np
0.000 0.000 0.000 Cu

=====

NpInCu2O6 GGA-PBE relaxed; Fermi-level density of states = 0.621 states/eV/atom; electronic total energy = -6.973 eV per atom; M_tot = 0.1 μB per cell; ΔE_f (raw) = -1.611 eV per atom; symmetry = R-3
1.0
5.385 0.000 -0.001
-2.692 4.664 0.000
-2.691 -1.553 5.048
O Np Cu In
6 1 2 1
direct
0.482 0.099 0.225 O
0.511 0.897 0.735 O
0.853 0.613 0.735 O
0.857 0.757 0.225 O
0.137 0.239 0.735 O
0.141 0.383 0.225 O
0.997 0.998 0.980 Np
0.487 0.743 0.216 Cu
0.506 0.252 0.744 Cu
0.997 0.498 0.480 In

=====

NpInCuO6 GGA-PBE relaxed; Fermi-level density of states = 0.453 states/eV/atom; electronic total energy = -7.106 eV per atom; M_tot = 1.9 μB per cell; ΔE_f (raw) = -1.603 eV per atom; symmetry = P-31c
1.0
-5.285 -1.035 -0.750
3.042 -3.395 2.964
-1.963 4.679 7.375
O Np Cu In
12 2 2 2
direct
0.023 0.676 0.873 O
0.023 0.346 0.627 O
0.654 0.977 0.873 O
0.977 0.324 0.127 O
0.346 0.023 0.127 O
0.324 0.977 0.627 O
0.676 0.654 0.127 O
0.676 0.023 0.373 O
0.346 0.324 0.373 O
0.324 0.346 0.873 O
0.977 0.654 0.373 O
0.654 0.676 0.627 O
0.333 0.667 0.750 Np
0.667 0.333 0.250 Np
0.000 0.000 0.000 Cu
0.000 0.000 0.500 Cu
0.667 0.333 0.750 In
0.333 0.667 0.250 In

=====

NpInCuPd GGA-PBE relaxed; Fermi-level density of states = 2.769 states/eV/atom; electronic total energy = -6.298 eV per atom; M_tot = 4.0 μB per cell; symmetry = F-43m
1.0
-4.386 1.528 -1.248
-3.670 -0.456 3.074
-1.876 3.898 2.100
Np Cu Pd In
1 1 1 1
direct
0.500 0.500 0.500 Np
0.250 0.250 0.250 Cu
0.750 0.750 0.750 Pd
0.000 0.000 0.000 In

=====

NpInCuRh GGA-PBE relaxed; Fermi-level density of states = 2.648 states/eV/atom; electronic total energy = -6.828 eV per atom; M_tot = 3.7 μB per cell; symmetry = F-43m
1.0
-2.098 3.717 2.077
-2.885 -0.670 3.709
1.354 1.370 4.338
In Cu Np Rh
1 1 1 1
direct
0.000 0.000 0.000 In
0.250 0.250 0.250 Cu
0.500 0.500 0.500 Np
0.750 0.750 0.750 Rh

=====

NpInCuRu GGA-PBE relaxed; Fermi-level density of states = 2.155 states/eV/atom; electronic total energy = -7.114 eV per atom; M_tot = 3.3 μB per cell; symmetry = F-43m
1.0
-2.191 3.921 -1.439
-2.594 -0.058 -3.938
-4.698 0.309 0.267
In Ru Cu Np
1 1 1 1
direct
0.750 0.750 0.750 In
0.000 0.000 0.000 Ru
0.500 0.500 0.500 Cu
0.250 0.250 0.250 Np

=====

NpInCuS4 GGA-PBE relaxed; Fermi-level density of states = 1.580 states/eV/atom; electronic total energy = -5.923 eV per atom; M_tot = 6.0 μB per cell; ΔE_f (raw) = -0.740 eV per atom; symmetry = Imma
1.0
-1.997 3.485 -6.449
-5.257 -3.133 -4.540
-6.851 3.286 -0.578
S In Cu Np
8 2 2 2
direct
0.253 0.238 0.257 S
0.747 0.243 0.262 S
0.253 0.743 0.243 S
0.747 0.762 0.743 S
0.761 0.743 0.243 S
0.253 0.757 0.738 S
0.747 0.257 0.757 S
0.239 0.257 0.757 S
0.500 0.000 0.500 In
0.000 0.000 0.500 In
0.372 0.378 0.878 Cu
0.628 0.622 0.122 Cu
0.000 0.500 0.500 Np
0.000 0.000 0.000 Np